No. 1
Density functional theory data (PBE-GGA) for crystalline BaSc2P2 at its relaxed geometry.

```
BaSc2P2
1.0
4.365 0.000 0.000
0.000 4.365 0.000
2.182 2.182 6.698
Sc P Ba
2 2 1
direct
0.750 0.250 0.500
0.250 0.750 0.500
0.361 0.361 0.278
0.639 0.639 0.722
0.000 0.000 0.000
```

Results
The calculation puts the formation energy at -25.24 kcal/mol of atoms. As for the space group: I4/mmm. The crystal system is tetragonal. As for the density of states at the Fermi level: 3.973 states/eV per cell. As for the magnetization: 0.191 μB/atom.

No. 2
Density functional theory data (PBE-GGA) for crystalline Sr5Bi2P at its relaxed geometry.

```
Sr5Bi2P
1.0
-4.978 3.022 -2.661
2.878 -6.360 -4.905
-9.734 -9.833 7.040
Sr Bi P
10 4 2
direct
0.947 0.893 0.878
0.947 0.893 0.622
0.306 0.613 0.410
0.306 0.613 0.090
0.727 0.453 0.250
0.273 0.547 0.750
0.694 0.387 0.590
0.694 0.387 0.910
0.053 0.107 0.122
0.053 0.107 0.378
0.850 0.700 0.432
0.850 0.700 0.068
0.150 0.300 0.568
0.150 0.300 0.932
0.806 0.612 0.750
0.194 0.388 0.250
```

Results
The calculation puts the formation energy at -17.53 kcal/mol of atoms. As for the space group: Cmcm. The crystal system is orthorhombic. As for the density of states at the Fermi level: 5.313 states/eV per cell. As for the magnetization: 0.095 μB/atom.

No. 3
Density functional theory data (PBE-GGA) for crystalline LuScAg4 at its relaxed geometry.

```
LuScAg4
1.0
5.594 0.000 0.000
2.797 4.845 0.000
2.797 1.615 4.568
Sc Lu Ag
1 1 4
direct
0.250 0.250 0.250
0.000 0.000 0.000
0.625 0.625 0.125
0.625 0.125 0.625
0.625 0.625 0.625
0.125 0.625 0.625
```

Results
The calculation puts the formation energy at -2.83 kcal/mol of atoms. As for the space group: F-43m. The crystal system is cubic. As for the density of states at the Fermi level: 6.311 states/eV per cell. As for the magnetization: 0.000 μB/atom.

No. 4
Density functional theory data (PBE-GGA) for crystalline K2NdBe2Se4 at its relaxed geometry.

```
K2NdBe2Se4
1.0
-0.548 2.444 2.959
-4.493 -5.884 4.028
7.912 -1.440 0.116
K Nd Be Se
2 1 2 4
direct
0.126 0.555 0.251
0.874 0.445 0.749
0.000 0.000 0.000
0.670 0.973 0.341
0.330 0.027 0.659
0.211 0.143 0.422
0.789 0.857 0.578
0.531 0.756 0.061
0.469 0.244 0.939
```

Results
As for the space group: C2/m. The crystal system is monoclinic. As for the density of states at the Fermi level: 3.263 states/eV per cell. As for the magnetization: 0.023 μB/atom. The value obtained for the uncorrected formation energy is -1.07 eV/atom.

No. 5
Density functional theory data (PBE-GGA) for crystalline La3Tb3Si4 at its relaxed geometry.

```
La3Tb3Si4
1.0
4.438 0.000 0.000
0.000 7.668 0.031
0.000 0.099 7.667
La Tb Si
3 3 4
direct
0.500 0.824 0.176
0.500 0.320 0.323
0.500 0.677 0.680
0.000 0.500 0.000
0.000 0.000 0.500
0.500 0.177 0.823
0.000 0.610 0.390
0.000 0.380 0.620
0.000 0.894 0.882
0.000 0.118 0.106
```

Results
As for the space group: Amm2. The crystal system is orthorhombic. As for the density of states at the Fermi level: 8.592 states/eV per cell. As for the magnetization: 0.000 μB/atom. The value obtained for the uncorrected formation energy is -0.68 eV/atom.

No. 6
Density functional theory data (PBE-GGA) for crystalline NdVFeP2 at its relaxed geometry.

```
NdVFeP2
1.0
-0.418 -0.085 -3.868
3.211 -2.179 -0.299
-4.389 -3.336 2.505
Nd V Fe P
1 1 1 2
direct
0.000 0.000 0.000
0.250 0.750 0.500
0.750 0.250 0.500
0.634 0.634 0.269
0.366 0.366 0.731
```

Results
The calculation puts the formation energy at -20.69 kcal/mol of atoms. As for the space group: I-4m2. The crystal system is tetragonal. As for the density of states at the Fermi level: 2.909 states/eV per cell. As for the magnetization: 0.510 μB/atom.

No. 7
Density functional theory data (PBE-GGA) for crystalline Ac2TcGe7 at its relaxed geometry.

```
Ac2TcGe7
1.0
4.759 0.000 0.000
0.000 4.759 0.000
0.000 0.000 9.976
Ac Tc Ge
2 1 7
direct
0.500 0.000 0.758
0.000 0.500 0.242
0.500 0.500 0.000
0.000 0.500 0.894
0.500 0.000 0.383
0.500 0.000 0.106
0.000 0.500 0.617
0.000 0.000 0.500
0.000 0.000 0.000
0.500 0.500 0.500
```

Results
The calculation puts the formation energy at -5.32 kcal/mol of atoms. As for the space group: P-4m2. The crystal system is tetragonal. As for the density of states at the Fermi level: 4.580 states/eV per cell. As for the magnetization: 0.000 μB/atom.

No. 8
Density functional theory data (PBE-GGA) for crystalline SrTa2Br at its relaxed geometry.

```
SrTa2Br
1.0
-1.802 -4.481 -1.444
1.919 0.732 -4.604
2.989 0.320 4.047
Sr Br Ta
1 1 2
direct
0.750 0.250 0.500
0.500 0.500 0.000
0.000 0.000 0.000
0.250 0.750 0.500
```

Results
As for the space group: I-4m2. The crystal system is tetragonal. As for the density of states at the Fermi level: 6.273 states/eV per cell. As for the magnetization: 0.139 μB/atom. The value obtained for the uncorrected formation energy is 0.95 eV/atom.

No. 9
Density functional theory data (PBE-GGA) for crystalline ReSbBr2 at its relaxed geometry.

```
ReSbBr2
1.0
3.244 0.013 0.000
-1.849 2.666 0.000
0.000 0.000 11.161
Re Br Sb
1 2 1
direct
0.000 0.000 0.486
0.000 0.000 0.008
0.500 0.500 0.307
0.500 0.500 0.699
```

Results
As for the space group: Cmm2. The crystal system is orthorhombic. As for the density of states at the Fermi level: 3.256 states/eV per cell. As for the magnetization: 0.000 μB/atom. The value obtained for the uncorrected formation energy is 0.58 eV/atom.

No. 10
Density functional theory data (PBE-GGA) for crystalline Ac2SnPb3 at its relaxed geometry.

```
Ac2SnPb3
1.0
4.115 0.000 0.000
0.000 5.414 0.000
0.000 0.000 9.316
Ac Sn Pb
2 1 3
direct
0.000 0.500 0.008
0.000 0.000 0.494
0.500 0.500 0.331
0.500 0.000 0.834
0.500 0.000 0.172
0.500 0.500 0.662
```

Results
The calculation puts the formation energy at -8.88 kcal/mol of atoms. As for the space group: Pmm2. The crystal system is orthorhombic. As for the density of states at the Fermi level: 3.080 states/eV per cell. As for the magnetization: 0.000 μB/atom.

No. 11
Density functional theory data (PBE-GGA) for crystalline Ce8Ir3RuCl4 at its relaxed geometry.

```
Ce8Ir3RuCl4
1.0
8.107 0.000 0.000
0.000 8.723 0.422
-4.053 -4.046 5.737
Ce Ir Ru Cl
8 3 1 4
direct
0.234 0.709 0.975
0.234 0.709 0.469
0.264 0.292 0.528
0.740 0.709 0.975
0.260 0.291 0.025
0.736 0.708 0.472
0.766 0.291 0.531
0.766 0.291 0.025
0.500 0.500 0.000
0.500 0.500 0.500
0.000 0.500 0.500
0.000 0.500 0.000
0.500 0.000 0.000
0.500 0.000 0.500
0.000 0.000 0.000
0.000 0.000 0.500
```

Results
As for the space group: R-3m. The crystal system is trigonal. As for the density of states at the Fermi level: 45.068 states/eV per cell. As for the magnetization: 0.442 μB/atom. The value obtained for the uncorrected formation energy is -1.10 eV/atom.

No. 12
Density functional theory data (PBE-GGA) for crystalline LiSc4S6 at its relaxed geometry.

```
LiSc4S6
1.0
3.672 0.000 0.000
-1.836 6.098 0.000
0.000 0.000 19.208
Li Sc S
2 8 12
direct
0.666 0.332 0.250
0.334 0.668 0.750
0.867 0.734 0.544
0.405 0.810 0.138
0.133 0.266 0.456
0.595 0.190 0.862
0.867 0.734 0.956
0.133 0.266 0.044
0.595 0.190 0.638
0.405 0.810 0.362
0.500 0.000 0.000
0.500 0.000 0.500
0.043 0.085 0.339
0.957 0.915 0.661
0.957 0.915 0.839
0.043 0.085 0.161
0.775 0.550 0.420
0.225 0.450 0.580
0.225 0.450 0.920
0.775 0.550 0.080
0.309 0.617 0.250
0.691 0.383 0.750
```

Results
As for the space group: Cmcm. The crystal system is orthorhombic. As for the density of states at the Fermi level: 5.190 states/eV per cell. As for the magnetization: 0.000 μB/atom. The value obtained for the uncorrected formation energy is -1.81 eV/atom.